# 1
! YCd2, PBEsol geometry, DFT SCAN; values from VASP
&SYSTEM
  ibrav = 0, nat = 3, ntyp = 2
/
ATOMIC_SPECIES
Y 88.91 Y.upf
Cd 112.41 Cd.upf
CELL_PARAMETERS angstrom
4.858 0.000 0.000
-2.429 4.207 0.000
0.000 0.000 3.412
ATOMIC_POSITIONS crystal
Y 0.000 0.000 0.000
Cd 0.333 0.667 0.500
Cd 0.667 0.333 0.500
! Space group: No. 191
! DFT total energy, eV/atom: -30.020
! N(E_F), states/eV/f.u.: 1.590
! Total magnetic moment, μB/cell: 0.23

***

# 2
! ScBe2Ir2, PBEsol geometry, DFT SCAN; values from VASP
&SYSTEM
  ibrav = 0, nat = 5, ntyp = 3
/
ATOMIC_SPECIES
Sc 44.96 Sc.upf
Be 9.01 Be.upf
Ir 192.22 Ir.upf
CELL_PARAMETERS angstrom
-2.043 2.043 4.037
2.043 -2.043 4.037
2.043 2.043 -4.037
ATOMIC_POSITIONS crystal
Sc 0.000 0.000 0.000
Be 0.359 0.359 0.000
Be 0.641 0.641 0.000
Ir 0.250 0.750 0.500
Ir 0.750 0.250 0.500
! Offset from the most stable computed form, meV per atom: 63.7
! Space group: No. 139
! N(E_F), states/eV/f.u.: 1.222
! Total magnetic moment, μB/cell: 0.00

***

# 3
! LiY2Fe, PBEsol geometry, DFT SCAN; values from VASP
&SYSTEM
  ibrav = 0, nat = 4, ntyp = 3
/
ATOMIC_SPECIES
Li 6.94 Li.upf
Y 88.91 Y.upf
Fe 55.84 Fe.upf
CELL_PARAMETERS angstrom
3.289 0.000 0.000
0.000 3.289 0.000
0.000 0.000 8.135
ATOMIC_POSITIONS crystal
Li 0.000 0.000 0.000
Y 0.500 0.500 0.304
Y 0.500 0.500 0.696
Fe 0.000 0.000 0.500
! Space group: No. 123
! DFT total energy, eV/atom: -18.951
! N(E_F), states/eV/f.u.: 2.025
! Total magnetic moment, μB/cell: 0.06

***

# 4
! ReTc2Sb, PBEsol geometry, DFT SCAN; values from VASP
&SYSTEM
  ibrav = 0, nat = 4, ntyp = 3
/
ATOMIC_SPECIES
Re 186.21 Re.upf
Tc 98.00 Tc.upf
Sb 121.76 Sb.upf
CELL_PARAMETERS angstrom
4.581 -1.475 0.000
4.581 1.475 0.000
-0.819 0.000 4.644
ATOMIC_POSITIONS crystal
Re 0.000 0.000 0.000
Tc 0.261 0.261 0.778
Tc 0.739 0.739 0.222
Sb 0.500 0.500 0.500
! E_form (uncorrected), eV per atom: 0.36
! Space group: No. 12
! N(E_F), states/eV/f.u.: 3.993
! Total magnetic moment, μB/cell: 0.00

***

# 5
! SrTlW, PBEsol geometry, DFT SCAN; values from VASP
&SYSTEM
  ibrav = 0, nat = 3, ntyp = 3
/
ATOMIC_SPECIES
Sr 87.62 Sr.upf
Tl 204.38 Tl.upf
W 183.84 W.upf
CELL_PARAMETERS angstrom
3.174 0.000 0.000
-1.587 2.749 0.000
0.000 0.000 7.888
ATOMIC_POSITIONS crystal
Sr 0.000 0.000 0.000
Tl 0.333 0.667 0.628
W 0.667 0.333 0.330
! Offset from the most stable computed form, meV per atom: 195.5
! Space group: No. 156
! N(E_F), states/eV/f.u.: 1.616
! Total magnetic moment, μB/cell: 0.00

***

# 6
! MnAl2In, PBEsol geometry, DFT SCAN; values from VASP
&SYSTEM
  ibrav = 0, nat = 4, ntyp = 3
/
ATOMIC_SPECIES
Mn 54.94 Mn.upf
Al 26.98 Al.upf
In 114.82 In.upf
CELL_PARAMETERS angstrom
3.273 0.000 0.000
0.000 3.273 0.000
0.000 0.000 5.775
ATOMIC_POSITIONS crystal
Mn 0.000 0.000 0.000
Al 0.000 0.000 0.426
Al 0.500 0.500 0.178
In 0.500 0.500 0.719
! Space group: No. 99
! DFT total energy, eV/atom: -16.670
! N(E_F), states/eV/f.u.: 0.631
! Total magnetic moment, μB/cell: 0.00

***

# 7
! Mg2CdAg, PBEsol geometry, DFT SCAN; values from VASP
&SYSTEM
  ibrav = 0, nat = 4, ntyp = 3
/
ATOMIC_SPECIES
Mg 24.30 Mg.upf
Cd 112.41 Cd.upf
Ag 107.87 Ag.upf
CELL_PARAMETERS angstrom
3.346 0.000 0.000
0.000 3.346 0.000
0.000 0.000 6.792
ATOMIC_POSITIONS crystal
Mg 0.000 0.000 0.233
Mg 0.000 0.000 0.767
Cd 0.500 0.500 0.500
Ag 0.500 0.500 0.000
! Offset from the most stable computed form, meV per atom: 0.0
! Space group: No. 123
! N(E_F), states/eV/f.u.: 1.056
! Total magnetic moment, μB/cell: 0.00

***

# 8
! ScAl2Si, PBEsol geometry, DFT SCAN; values from VASP
&SYSTEM
  ibrav = 0, nat = 4, ntyp = 3
/
ATOMIC_SPECIES
Sc 44.96 Sc.upf
Al 26.98 Al.upf
Si 28.09 Si.upf
CELL_PARAMETERS angstrom
2.716 -4.123 0.000
2.716 4.123 0.000
0.000 0.000 3.060
ATOMIC_POSITIONS crystal
Sc 0.000 0.000 0.000
Al 0.000 0.500 0.500
Al 0.500 0.000 0.500
Si 0.500 0.500 0.000
! E_form (uncorrected), eV per atom: -0.19
! Space group: No. 65
! N(E_F), states/eV/f.u.: 1.922
! Total magnetic moment, μB/cell: 0.00